Pr2AlCrS6: optimized geometry, PBE-GGA.

It has space group P2_1/c (No. 14), with a = 6.3873 Å, b = 6.9227 Å, c = 11.1765 Å, α = 90.00°, β = 124.38° and γ = 90.00°. Symmetry generates all atoms from Pr at (0.2160, 0.0967, 0.2507), Al at (0.5000, 0.0000, 0.0000), Cr at (0.0000, 0.0000, 0.5000), S at (0.1361, 0.1904, 0.9515), S at (0.2642, 0.6908, 0.9514) and S at (0.3550, 0.0140, 0.7505).

Its raw formation energy is -1446 meV per atom. The mass density comes out at 4.50 Mg/m³. Its crystal system is monoclinic.

***

AlCrPt2: optimized geometry, PBE-GGA.

It has space group I-42d (No. 122), with a = 3.9363 Å, b = 3.9363 Å, c = 17.1468 Å, α = 90.00°, β = 90.00° and γ = 90.00°. Symmetry generates all atoms from Al at (0.0000, 0.0000, 0.0000), Cr at (0.0000, 0.0000, 0.5000) and Pt at (0.2492, 0.2500, 0.1250).

The calculation puts the formation energy at -0.35 eV per formula unit. The mass density comes out at 11.73 Mg/m³. Its crystal system is tetragonal.

***

AlCrPt2: optimized geometry, PBE-GGA.

It has space group Cmmm (No. 65), with a = 5.6994 Å, b = 7.1622 Å, c = 2.8890 Å, α = 90.00°, β = 90.00° and γ = 90.00°. Symmetry generates all atoms from Al at (0.0000, 0.0000, 0.0000), Cr at (0.0000, 0.5000, 0.0000) and Pt at (0.2500, 0.2500, 0.5000).

The calculation puts the formation energy at -2.36 eV per formula unit. The mass density comes out at 13.21 Mg/m³. Its crystal system is orthorhombic.

***

AlCrPt2: optimized geometry, PBE-GGA.

It has space group Imm2 (No. 44), with a = 3.8062 Å, b = 3.8316 Å, c = 8.1492 Å, α = 90.00°, β = 90.00° and γ = 90.00°. Symmetry generates all atoms from Al at (0.0000, 0.0000, 0.0000), Cr at (0.0000, 0.5000, 0.7500), Pt at (0.0000, 0.0000, 0.5000) and Pt at (0.0000, 0.5000, 0.2506).

The calculation puts the formation energy at -2.12 eV per formula unit. The mass density comes out at 13.11 Mg/m³. Its crystal system is orthorhombic.

***

AlCrPt2: optimized geometry, PBE-GGA.

It has space group Cm (No. 8), with a = 9.2847 Å, b = 2.8958 Å, c = 4.5400 Å, α = 90.00°, β = 104.03° and γ = 90.00°. Symmetry generates all atoms from Al at (0.0000, 0.0000, 0.0000), Cr at (0.2454, 0.5000, 0.3456), Pt at (0.2608, 0.0000, 0.8531) and Pt at (0.4887, 0.0000, 0.4913).

The calculation puts the formation energy at -2.12 eV per formula unit. The mass density comes out at 13.16 Mg/m³. Its crystal system is monoclinic.

***

Al2CrPt: optimized geometry, PBE-GGA.

It has space group I-42d (No. 122), with a = 7.0105 Å, b = 7.0105 Å, c = 5.4662 Å, α = 90.00°, β = 90.00° and γ = 90.00°. Symmetry generates all atoms from Al at (0.2272, 0.7500, 0.1250), Cr at (0.0000, 0.0000, 0.5000) and Pt at (0.0000, 0.0000, 0.0000).

The calculation puts the formation energy at -0.28 eV per formula unit. The mass density comes out at 7.44 Mg/m³. Its crystal system is tetragonal.

***

Al2CrPt: optimized geometry, PBE-GGA.

It has space group I-4m2 (No. 119), with a = 3.7945 Å, b = 3.7945 Å, c = 8.1020 Å, α = 90.00°, β = 90.00° and γ = 90.00°. Symmetry generates all atoms from Al at (0.0000, 0.0000, 0.0000), Al at (0.0000, 0.5000, 0.2500), Cr at (0.0000, 0.0000, 0.5000) and Pt at (0.0000, 0.5000, 0.7500).

The calculation puts the formation energy at -1.86 eV per formula unit. The mass density comes out at 8.57 Mg/m³. Its crystal system is tetragonal.

***

AlCrPt2: optimized geometry, PBE-GGA.

It has space group Pmmm (No. 47), with a = 2.8588 Å, b = 3.5924 Å, c = 5.7665 Å, α = 90.00°, β = 90.00° and γ = 90.00°. Symmetry generates all atoms from Al at (0.0000, 0.0000, 0.0000), Cr at (0.0000, 0.0000, 0.5000) and Pt at (0.5000, 0.5000, 0.2458).

The calculation puts the formation energy at -2.28 eV per formula unit. The mass density comes out at 13.15 Mg/m³. Its crystal system is orthorhombic.

***

Al2CrPt: optimized geometry, PBE-GGA.

It has space group R3m (No. 160, hexagonal axes), with a = 2.8038 Å, b = 2.8038 Å, c = 25.6604 Å, α = 90.00°, β = 90.00° and γ = 120.00°. Symmetry generates all atoms from Al at (0.0000, 0.0000, 0.0000), Al at (0.0000, 0.0000, 0.2429), Cr at (0.0000, 0.0000, 0.4969) and Pt at (0.0000, 0.0000, 0.7483).

The calculation puts the formation energy at -0.74 eV per formula unit. The mass density comes out at 8.58 Mg/m³. Its crystal system is trigonal.

***

AlCrPt6: optimized geometry, PBE-GGA.

It has space group P4/mmm (No. 123), with a = 3.9157 Å, b = 3.9157 Å, c = 7.8528 Å, α = 90.00°, β = 90.00° and γ = 90.00°. Symmetry generates all atoms from Al at (0.0000, 0.0000, 0.0000), Cr at (0.0000, 0.0000, 0.5000), Pt at (0.0000, 0.5000, 0.2505), Pt at (0.5000, 0.5000, 0.0000) and Pt at (0.5000, 0.5000, 0.5000).

The calculation puts the formation energy at -3.79 eV per formula unit. The mass density comes out at 17.23 Mg/m³. Its crystal system is tetragonal.

***

AlCrPt2: optimized geometry, PBE-GGA.

It has space group C2/m (No. 12), with a = 8.6247 Å, b = 2.8850 Å, c = 4.9171 Å, α = 90.00°, β = 102.10° and γ = 90.00°. Symmetry generates all atoms from Al at (0.0000, 0.0000, 0.0000), Cr at (0.0000, 0.5000, 0.5000) and Pt at (0.2463, 0.5000, 0.2510).

The calculation puts the formation energy at -1.65 eV per formula unit. The mass density comes out at 13.02 Mg/m³. Its crystal system is monoclinic.

***

AlCrPt2: optimized geometry, PBE-GGA.

It has space group F-43m (No. 216), with a = 6.2445 Å, b = 6.2445 Å, c = 6.2445 Å, α = 90.00°, β = 90.00° and γ = 90.00°. Symmetry generates all atoms from Al at (0.0000, 0.0000, 0.0000), Cr at (0.2500, 0.2500, 0.7500), Pt at (0.0000, 0.0000, 0.5000) and Pt at (0.2500, 0.2500, 0.2500).

The calculation puts the formation energy at -1.26 eV per formula unit. The mass density comes out at 12.80 Mg/m³. Its crystal system is cubic.

***

AlCr2Pt5: optimized geometry, PBE-GGA.

It has space group Pbam (No. 55), with a = 5.4835 Å, b = 10.9078 Å, c = 3.9948 Å, α = 90.00°, β = 90.00° and γ = 90.00°. Symmetry generates all atoms from Al at (0.0000, 0.0000, 0.0000), Cr at (0.2063, 0.3637, 0.5000), Pt at (0.0000, 0.5000, 0.0000), Pt at (0.0425, 0.7582, 0.0000) and Pt at (0.2109, 0.1109, 0.5000).

The calculation puts the formation energy at -3.93 eV per formula unit. The mass density comes out at 15.38 Mg/m³. Its crystal system is orthorhombic.

***

Al4CrPt: optimized geometry, PBE-GGA.

It has space group F-43m (No. 216), with a = 7.1935 Å, b = 7.1935 Å, c = 7.1935 Å, α = 90.00°, β = 90.00° and γ = 90.00°. Symmetry generates all atoms from Al at (0.1243, 0.1243, 0.1243), Cr at (0.2500, 0.2500, 0.7500) and Pt at (0.0000, 0.0000, 0.5000).

The calculation puts the formation energy at 0.25 eV per formula unit. The mass density comes out at 6.33 Mg/m³. Its crystal system is cubic.

***

AlCr3Pt12: optimized geometry, PBE-GGA.

It has space group P4/mmm (No. 123), with a = 3.9160 Å, b = 3.9160 Å, c = 15.6909 Å, α = 90.00°, β = 90.00° and γ = 90.00°. Symmetry generates all atoms from Al at (0.0000, 0.0000, 0.0000), Cr at (0.0000, 0.0000, 0.2508), Cr at (0.0000, 0.0000, 0.5000), Pt at (0.0000, 0.5000, 0.1251), Pt at (0.0000, 0.5000, 0.3750), Pt at (0.5000, 0.5000, 0.0000), Pt at (0.5000, 0.5000, 0.2496) and Pt at (0.5000, 0.5000, 0.5000).

The calculation puts the formation energy at -6.03 eV per formula unit. The mass density comes out at 17.42 Mg/m³. Its crystal system is tetragonal.

***

Al2CrPt: optimized geometry, PBE-GGA.

It has space group Pmm2 (No. 25), with a = 2.7922 Å, b = 3.8190 Å, c = 5.3934 Å, α = 90.00°, β = 90.00° and γ = 90.00°. Symmetry generates all atoms from Al at (0.0000, 0.0000, 0.0000), Al at (0.5000, 0.5000, 0.2785), Cr at (0.0000, 0.0000, 0.4914) and Pt at (0.5000, 0.5000, 0.7774).

The calculation puts the formation energy at -1.52 eV per formula unit. The mass density comes out at 8.69 Mg/m³. Its crystal system is orthorhombic.

***

AlCrPt2: optimized geometry, PBE-GGA.

It has space group P4mm (No. 99), with a = 2.7891 Å, b = 2.7891 Å, c = 7.3384 Å, α = 90.00°, β = 90.00° and γ = 90.00°. Symmetry generates all atoms from Al at (0.0000, 0.0000, 0.0000), Cr at (0.5000, 0.5000, 0.2413), Pt at (0.0000, 0.0000, 0.4676) and Pt at (0.5000, 0.5000, 0.7683).

The calculation puts the formation energy at -1.63 eV per formula unit. The mass density comes out at 13.65 Mg/m³. Its crystal system is tetragonal.

***

Al2CrPt: optimized geometry, PBE-GGA.

It has space group Fm-3m (No. 225), with a = 6.0688 Å, b = 6.0688 Å, c = 6.0688 Å, α = 90.00°, β = 90.00° and γ = 90.00°. Symmetry generates all atoms from Al at (0.2500, 0.2500, 0.2500), Cr at (0.0000, 0.0000, 0.0000) and Pt at (0.0000, 0.0000, 0.5000).

The calculation puts the formation energy at -1.99 eV per formula unit. The mass density comes out at 8.95 Mg/m³. Its crystal system is cubic.

***

Al2CrPt: optimized geometry, PBE-GGA.

It has space group C2/m (No. 12), with a = 5.5786 Å, b = 8.2773 Å, c = 2.7149 Å, α = 90.00°, β = 114.54° and γ = 90.00°. Symmetry generates all atoms from Al at (0.2500, 0.2500, 0.0000), Cr at (0.0000, 0.0000, 0.5000) and Pt at (0.0000, 0.5000, 0.5000).

The calculation puts the formation energy at -1.18 eV per formula unit. The mass density comes out at 8.77 Mg/m³. Its crystal system is monoclinic.

***

AlCr4Pt: optimized geometry, PBE-GGA.

It has space group F-43m (No. 216), with a = 6.7610 Å, b = 6.7610 Å, c = 6.7610 Å, α = 90.00°, β = 90.00° and γ = 90.00°. Symmetry generates all atoms from Al at (0.0000, 0.0000, 0.0000), Cr at (0.1275, 0.1275, 0.6275) and Pt at (0.2500, 0.2500, 0.2500).

The calculation puts the formation energy at -0.08 eV per formula unit. The mass density comes out at 9.24 Mg/m³. Its crystal system is cubic.